No. 1
Material: AcAgPAu
Method: DFT, GGA-PBE
State: optimized geometry

Results
density	9.91	g/cm3
calculated formation energy	-1.025	eV/f.u.
M_tot	0.00	μB per formula unit
E	-4.168	eV/atom
SG	No. 216

Geometry as CIF:
```
data_AcAgPAu
_chemical_formula_sum 'Ac1 Ag1 P1 Au1'
_cell_length_a 5.109
_cell_length_b 5.109
_cell_length_c 5.109
_cell_angle_alpha 60.00
_cell_angle_beta 60.00
_cell_angle_gamma 60.00
_symmetry_space_group_name_H-M 'P 1'
_symmetry_Int_Tables_number 1
_symmetry_space_group_name_Hall 'P 1'
loop_
_atom_site_label
_atom_site_fract_x
_atom_site_fract_y
_atom_site_fract_z
Ac1 0.500 0.500 0.500
Ag1 0.250 0.250 0.250
Au1 0.750 0.750 0.750
P1 0.000 0.000 0.000
```

=====

No. 2
Material: Sm2Y3Er
Method: DFT, GGA-PBE
State: optimized geometry

Results
ΔE to the lowest computed polymorph	0	meV/atom
density	6.15	g/cm3
calculated formation energy	0.707	eV/f.u.
M_tot	0.00	μB per formula unit
E	-5.448	eV/atom
SG	No. 12

Geometry as CIF:
```
data_Sm2Y3Er
_chemical_formula_sum 'Sm4 Y6 Er2'
_cell_length_a 3.515
_cell_length_b 9.091
_cell_length_c 12.998
_cell_angle_alpha 78.05
_cell_angle_beta 82.23
_cell_angle_gamma 78.85
_symmetry_space_group_name_H-M 'P 1'
_symmetry_Int_Tables_number 1
_symmetry_space_group_name_Hall 'P 1'
loop_
_atom_site_label
_atom_site_fract_x
_atom_site_fract_y
_atom_site_fract_z
Y1 0.962 0.861 0.214
Y2 0.262 0.184 0.292
Sm1 0.343 0.843 0.470
Y3 0.401 0.172 0.025
Sm2 0.657 0.157 0.530
Y4 0.599 0.828 0.975
Sm3 0.819 0.480 0.881
Er1 0.563 0.516 0.358
Y5 0.038 0.139 0.786
Er2 0.437 0.484 0.642
Y6 0.738 0.816 0.708
Sm4 0.181 0.520 0.119
```

=====

No. 3
Material: DyEr2Tm
Method: DFT, GGA-PBE
State: optimized geometry

Results
ΔE to the lowest computed polymorph	17	meV/atom
density	9.10	g/cm3
calculated formation energy	0.097	eV/f.u.
M_tot	0.00	μB per formula unit
E	-4.526	eV/atom
SG	No. 166

Geometry as CIF:
```
data_DyEr2Tm
_chemical_formula_sum 'Dy1 Er2 Tm1'
_cell_length_a 3.505
_cell_length_b 3.505
_cell_length_c 11.592
_cell_angle_alpha 81.30
_cell_angle_beta 81.30
_cell_angle_gamma 60.00
_symmetry_space_group_name_H-M 'P 1'
_symmetry_Int_Tables_number 1
_symmetry_space_group_name_Hall 'P 1'
loop_
_atom_site_label
_atom_site_fract_x
_atom_site_fract_y
_atom_site_fract_z
Er1 0.749 0.749 0.752
Er2 0.251 0.251 0.248
Tm1 0.000 0.000 0.000
Dy1 0.500 0.500 0.500
```

=====

No. 4
Material: MgHg2Pd4
Method: DFT, GGA-PBE
State: optimized geometry

Results
ΔE to the lowest computed polymorph	0	meV/atom
density	11.73	g/cm3
calculated formation energy	-2.044	eV/f.u.
M_tot	0.00	μB per formula unit
E	-3.573	eV/atom
SG	No. 1

Geometry as CIF:
```
data_MgHg2Pd4
_chemical_formula_sum 'Mg2 Hg4 Pd8'
_cell_length_a 6.539
_cell_length_b 5.818
_cell_length_c 7.667
_cell_angle_alpha 112.42
_cell_angle_beta 105.21
_cell_angle_gamma 103.70
_symmetry_space_group_name_H-M 'P 1'
_symmetry_Int_Tables_number 1
_symmetry_space_group_name_Hall 'P 1'
loop_
_atom_site_label
_atom_site_fract_x
_atom_site_fract_y
_atom_site_fract_z
Hg1 0.719 0.932 0.309
Hg2 0.725 0.443 0.320
Pd1 0.447 0.160 0.895
Pd2 0.024 0.740 0.749
Pd3 0.883 0.589 0.045
Hg3 0.035 0.248 0.756
Hg4 0.577 0.330 0.626
Pd4 0.446 0.680 0.895
Pd5 0.593 0.821 0.613
Mg1 0.178 0.853 0.459
Pd6 0.149 0.364 0.451
Mg2 0.881 0.073 0.025
Pd7 0.295 0.010 0.178
Pd8 0.297 0.507 0.178
```

=====

No. 5
Material: RbBe2AgF6
Method: DFT, GGA-PBE
State: optimized geometry

Results
ΔE_f (raw)	-2.742	eV/atom
density	3.72	g/cm3
M_tot	0.09	μB per formula unit
E	-4.991	eV/atom
SG	No. 15

Geometry as CIF:
```
data_RbBe2AgF6
_chemical_formula_sum 'Rb2 Be4 Ag2 F12'
_cell_length_a 7.546
_cell_length_b 7.546
_cell_length_c 5.135
_cell_angle_alpha 94.74
_cell_angle_beta 94.74
_cell_angle_gamma 92.15
_symmetry_space_group_name_H-M 'P 1'
_symmetry_Int_Tables_number 1
_symmetry_space_group_name_Hall 'P 1'
loop_
_atom_site_label
_atom_site_fract_x
_atom_site_fract_y
_atom_site_fract_z
F1 0.349 0.946 0.757
F2 0.720 0.544 0.676
F3 0.651 0.054 0.243
F4 0.946 0.349 0.257
F5 0.544 0.720 0.176
F6 0.054 0.651 0.743
Be1 0.860 0.699 0.709
Ag1 0.604 0.396 0.250
Rb1 0.816 0.184 0.750
Ag2 0.396 0.604 0.750
F7 0.280 0.456 0.324
Be2 0.699 0.860 0.209
Rb2 0.184 0.816 0.250
F8 0.831 0.820 0.464
Be3 0.140 0.301 0.291
Be4 0.301 0.140 0.791
F9 0.169 0.180 0.536
F10 0.456 0.280 0.824
F11 0.180 0.169 0.036
F12 0.820 0.831 0.964
```

=====

No. 6
Material: GdHoBeIr
Method: DFT, GGA-PBE
State: optimized geometry

Results
density	10.72	g/cm3
calculated formation energy	-1.537	eV/f.u.
M_tot	7.01	μB per formula unit
E	-8.196	eV/atom
SG	No. 216

Geometry as CIF:
```
data_GdHoBeIr
_chemical_formula_sum 'Gd1 Ho1 Be1 Ir1'
_cell_length_a 4.858
_cell_length_b 4.858
_cell_length_c 4.858
_cell_angle_alpha 60.00
_cell_angle_beta 60.00
_cell_angle_gamma 60.00
_symmetry_space_group_name_H-M 'P 1'
_symmetry_Int_Tables_number 1
_symmetry_space_group_name_Hall 'P 1'
loop_
_atom_site_label
_atom_site_fract_x
_atom_site_fract_y
_atom_site_fract_z
Ho1 0.000 0.000 0.000
Gd1 0.500 0.500 0.500
Be1 0.250 0.250 0.250
Ir1 0.750 0.750 0.750
```

=====

No. 7
Material: Nb3BiIr
Method: DFT, GGA-PBE
State: optimized geometry

Results
ΔE to the lowest computed polymorph	0	meV/atom
density	9.47	g/cm3
calculated formation energy	3.676	eV/f.u.
M_tot	0.00	μB per formula unit
E	-7.855	eV/atom
SG	No. 221

Geometry as CIF:
```
data_Nb3BiIr
_chemical_formula_sum 'Nb3 Bi1 Ir1'
_cell_length_a 4.922
_cell_length_b 4.922
_cell_length_c 4.922
_cell_angle_alpha 90.00
_cell_angle_beta 90.00
_cell_angle_gamma 90.00
_symmetry_space_group_name_H-M 'P 1'
_symmetry_Int_Tables_number 1
_symmetry_space_group_name_Hall 'P 1'
loop_
_atom_site_label
_atom_site_fract_x
_atom_site_fract_y
_atom_site_fract_z
Nb1 0.500 0.000 0.000
Ir1 0.000 0.000 0.000
Nb2 0.000 0.500 0.000
Bi1 0.500 0.500 0.500
Nb3 0.000 0.000 0.500
```

=====

No. 8
Material: SrTiP2N6
Method: DFT, GGA-PBE
State: optimized geometry

Results
ΔE_f (raw)	-0.659	eV/atom
density	4.08	g/cm3
M_tot	0.00	μB per formula unit
E	-7.694	eV/atom
SG	No. 15

Geometry as CIF:
```
data_SrTiP2N6
_chemical_formula_sum 'Sr2 Ti2 P4 N12'
_cell_length_a 4.847
_cell_length_b 6.931
_cell_length_c 6.931
_cell_angle_alpha 97.72
_cell_angle_beta 85.92
_cell_angle_gamma 85.92
_symmetry_space_group_name_H-M 'P 1'
_symmetry_Int_Tables_number 1
_symmetry_space_group_name_Hall 'P 1'
loop_
_atom_site_label
_atom_site_fract_x
_atom_site_fract_y
_atom_site_fract_z
N1 0.330 0.742 0.383
N2 0.634 0.387 0.264
N3 0.766 0.002 0.285
P1 0.799 0.223 0.382
N4 0.234 0.998 0.715
N5 0.866 0.736 0.613
Sr1 0.250 0.908 0.092
N6 0.366 0.613 0.736
P2 0.299 0.382 0.223
N7 0.170 0.617 0.258
Ti1 0.250 0.278 0.722
Sr2 0.750 0.092 0.908
N8 0.266 0.285 0.002
P3 0.201 0.777 0.618
N9 0.670 0.258 0.617
Ti2 0.750 0.722 0.278
N10 0.830 0.383 0.742
P4 0.701 0.618 0.777
N11 0.134 0.264 0.387
N12 0.734 0.715 0.998
```

=====

- Look up the density of the second one.
  6.15 g/cm3